a:
# ScCoIr

A geometry-optimized ScCoIr structure (PBE-GGA, Alexandria via LeMat-Bulk).

abc: 3.9826 3.9826 6.7269
angles: 107.22 107.22 90.00
With the nearest neighbours (Å) after each atom.
Fractional coordinates of all 6 atoms:
1 Sc 0.3355 0.3355 0.6711  5 Co 2.58-2.86, 4 Ir 2.83
2 Sc 0.6645 0.6645 0.3289  5 Co 2.58-2.86, 4 Ir 2.83
3 Co 0.8753 0.8753 0.7507  4 Ir 2.51, 1 Sc 2.58
4 Co 0.1247 0.1247 0.2493  4 Ir 2.51, 1 Sc 2.58
5 Ir 0.5000 0.0000 0.0000  4 Co 2.51
6 Ir 0.0000 0.5000 0.0000  4 Co 2.51

Properties
total magnetization	1.75	Bohr magnetons per cell
D(E_F)	10.5	states/eV per cell

=====

b:
# ScCoIr

A geometry-optimized ScCoIr structure (PBE-GGA, Alexandria via LeMat-Bulk).

abc: 4.8899 5.0317 5.0317
angles: 62.84 60.93 60.93
With the nearest neighbours (Å) after each atom.
Fractional coordinates of all 6 atoms:
1 Sc 0.8791 0.3709 0.3709  6 Co 2.89-3.03, 6 Ir 2.90-2.98, 4 Sc 3.05-3.13
2 Sc 0.1209 0.6291 0.6291  6 Co 2.89-3.03, 6 Ir 2.90-2.98, 4 Sc 3.05-3.13
3 Co 0.0000 0.0000 0.0000  2 Co 2.44, 4 Ir 2.52
4 Co 0.5000 0.0000 0.0000  2 Co 2.44, 4 Ir 2.52
5 Ir 0.5000 0.5000 0.0000  4 Co 2.52, 2 Ir 2.62
6 Ir 0.5000 0.0000 0.5000  4 Co 2.52, 2 Ir 2.62

Properties
total magnetization	0.00	Bohr magnetons per cell
D(E_F)	6.8	states/eV per cell

=====

c:
# ScCoIr

A geometry-optimized ScCoIr structure (PBE-GGA, Alexandria via LeMat-Bulk).

abc: 5.8878 5.8878 2.8840
angles: 75.82 75.82 28.35
With the nearest neighbours (Å) after each atom.
Fractional coordinates of all 3 atoms:
1 Co 0.9864 0.9864 0.0136  4 Ir 2.55, 4 Sc 2.85
2 Ir 0.3471 0.3471 0.6529  4 Co 2.55, 4 Sc 2.85
3 Sc 0.6665 0.6665 0.3335  4 Co 2.85, 4 Ir 2.85, 4 Sc 2.88

Properties
total magnetization	1.72	Bohr magnetons per cell
D(E_F)	3.6	states/eV per cell

=====

Most stable structure: b

=====

a:
# ScCo2Ir2

A geometry-optimized ScCo2Ir2 structure (PBE-GGA, Alexandria via LeMat-Bulk).

abc: 7.1784 7.1784 2.7489
angles: 90.00 90.00 90.00
With the nearest neighbours (Å) after each atom.
Fractional coordinates of all 10 atoms:
1 Ir 0.6772 0.8228 0.5000  6 Co 2.48-2.57, 2 Ir 2.75
2 Ir 0.8228 0.3228 0.5000  6 Co 2.48-2.57, 2 Ir 2.75
3 Ir 0.3228 0.1772 0.5000  6 Co 2.48-2.57, 2 Ir 2.75
4 Ir 0.1772 0.6772 0.5000  6 Co 2.48-2.57, 2 Ir 2.75
5 Co 0.3807 0.8807 0.0000  1 Co 2.42, 6 Ir 2.48-2.57
6 Co 0.6193 0.1193 0.0000  1 Co 2.42, 6 Ir 2.48-2.57
7 Co 0.8807 0.6193 0.0000  1 Co 2.42, 6 Ir 2.48-2.57
8 Co 0.1193 0.3807 0.0000  1 Co 2.42, 6 Ir 2.48-2.57
9 Sc 0.0000 0.0000 0.0000  2 Sc 2.75, 4 Co 2.86, 8 Ir 2.98
10 Sc 0.5000 0.5000 0.0000  2 Sc 2.75, 4 Co 2.86, 8 Ir 2.98

Properties
total magnetization	5.22	Bohr magnetons per cell
D(E_F)	12.8	states/eV per cell

=====

b:
# ScCo2Ir2

A geometry-optimized ScCo2Ir2 structure (PBE-GGA, Alexandria via LeMat-Bulk).

abc: 7.2225 7.2225 2.7690
angles: 90.00 90.00 90.00
With the nearest neighbours (Å) after each atom.
Fractional coordinates of all 10 atoms:
1 Co 0.8301 0.3301 0.5000  6 Ir 2.47-2.58, 2 Co 2.77
2 Co 0.3301 0.1699 0.5000  6 Ir 2.47-2.58, 2 Co 2.77
3 Co 0.1699 0.6699 0.5000  6 Ir 2.47-2.58, 2 Co 2.77
4 Co 0.6699 0.8301 0.5000  6 Ir 2.47-2.58, 2 Co 2.77
5 Ir 0.3705 0.8705 0.0000  6 Co 2.47-2.58, 3 Ir 2.64-2.77
6 Ir 0.1295 0.3705 0.0000  6 Co 2.47-2.58, 3 Ir 2.64-2.77
7 Ir 0.8705 0.6295 0.0000  6 Co 2.47-2.58, 3 Ir 2.64-2.77
8 Ir 0.6295 0.1295 0.0000  6 Co 2.47-2.58, 3 Ir 2.64-2.77
9 Sc 0.5000 0.5000 0.0000  2 Sc 2.77, 4 Ir 2.83, 8 Co 3.02
10 Sc 0.0000 0.0000 0.0000  2 Sc 2.77, 4 Ir 2.83, 8 Co 3.02

Properties
total magnetization	5.92	Bohr magnetons per cell
D(E_F)	8.7	states/eV per cell

=====

c:
# ScCo2Ir2

A geometry-optimized ScCo2Ir2 structure (PBE-GGA, Alexandria via LeMat-Bulk).

abc: 3.7011 3.7011 6.2910
angles: 72.89 72.89 90.00
With the nearest neighbours (Å) after each atom.
Fractional coordinates of all 5 atoms:
1 Sc 0.0000 0.0000 0.0000  8 Ir 2.89
2 Ir 0.6071 0.6071 0.7858  1 Ir 2.45, 4 Co 2.47
3 Ir 0.3929 0.3929 0.2142  1 Ir 2.45, 4 Co 2.47
4 Co 0.7500 0.2500 0.5000  4 Ir 2.47, 4 Co 2.62
5 Co 0.2500 0.7500 0.5000  4 Ir 2.47, 4 Co 2.62

Properties
total magnetization	3.86	Bohr magnetons per cell
D(E_F)	6.7	states/eV per cell

=====

Most stable structure: a

=====

a:
# Sc4CoIr

A geometry-optimized Sc4CoIr structure (PBE-GGA, Alexandria via LeMat-Bulk).

abc: 5.3939 5.3939 5.3939
angles: 60.00 60.00 60.00
With the nearest neighbours (Å) after each atom.
Fractional coordinates of all 6 atoms:
1 Sc 0.8774 0.3742 0.3742  6 Sc 2.68-2.71
2 Sc 0.3742 0.3742 0.3742  6 Sc 2.68-2.71
3 Sc 0.3742 0.3742 0.8774  6 Sc 2.68-2.71
4 Sc 0.3742 0.8774 0.3742  6 Sc 2.68-2.71
5 Co 0.7500 0.7500 0.7500  12 Sc 3.16, 4 Ir 3.30
6 Ir 0.0000 0.0000 0.0000  12 Sc 3.16, 4 Co 3.30

Properties
total magnetization	0.52	Bohr magnetons per cell
D(E_F)	6.7	states/eV per cell

=====

b:
# Sc4CoIr

A geometry-optimized Sc4CoIr structure (PBE-GGA, Alexandria via LeMat-Bulk).

abc: 4.4446 4.4459 6.2907
angles: 89.93 89.96 90.00
With the nearest neighbours (Å) after each atom.
Fractional coordinates of all 6 atoms:
1 Sc 0.0011 0.4968 0.2554  2 Co 2.69-2.70, 2 Ir 2.75
2 Sc 0.5011 0.9968 0.2554  2 Co 2.69-2.70, 2 Ir 2.75
3 Sc 0.5015 0.9977 0.7409  2 Co 2.69-2.70, 2 Ir 2.75
4 Sc 0.0015 0.4977 0.7409  2 Co 2.69-2.70, 2 Ir 2.75
5 Co 0.0013 0.9973 0.4981  8 Sc 2.69-2.70
6 Ir 0.5013 0.4973 0.9981  8 Sc 2.75

Properties
total magnetization	0.00	Bohr magnetons per cell
D(E_F)	5.4	states/eV per cell

=====

c:
# Sc4CoIr

A geometry-optimized Sc4CoIr structure (PBE-GGA, Alexandria via LeMat-Bulk).

abc: 5.6427 7.0788 7.3009
angles: 114.55 107.43 100.33
With the nearest neighbours (Å) after each atom.
Fractional coordinates of all 12 atoms:
1 Sc 0.6466 0.0514 0.3554  2 Co 2.71-2.72, 2 Ir 2.75-2.77
2 Sc 0.2088 0.3040 0.3554  2 Co 2.71-2.72, 2 Ir 2.75-2.77
3 Sc 0.7912 0.6960 0.6446  2 Co 2.71-2.72, 2 Ir 2.75-2.77
4 Sc 0.3534 0.9486 0.6446  2 Co 2.71-2.72, 2 Ir 2.75-2.77
5 Sc 0.3540 0.6386 0.8754  2 Co 2.58-2.68, 2 Ir 2.71-2.87
6 Sc 0.6460 0.3614 0.1246  2 Co 2.58-2.68, 2 Ir 2.71-2.87
7 Sc 0.9786 0.7632 0.1246  2 Co 2.58-2.68, 2 Ir 2.71-2.87
8 Sc 0.0214 0.2368 0.8754  2 Co 2.58-2.68, 2 Ir 2.71-2.87
9 Ir 0.6126 0.3626 0.7251  8 Sc 2.71-2.87
10 Ir 0.3874 0.6374 0.2749  8 Sc 2.71-2.87
11 Co 0.7505 0.0005 0.0010  8 Sc 2.58-2.72, 2 Co 2.82
12 Co 0.2495 0.9995 0.9990  8 Sc 2.58-2.72, 2 Co 2.82

Properties
total magnetization	0.01	Bohr magnetons per cell
D(E_F)	13.4	states/eV per cell

=====

Most stable structure: c

=====

a:
# CoIrSe

A geometry-optimized CoIrSe structure (PBE-GGA, Alexandria via LeMat-Bulk).

abc: 4.1504 4.1504 4.1504
angles: 60.00 60.00 60.00
With the nearest neighbours (Å) after each atom.
Fractional coordinates of all 3 atoms:
1 Ir 0.7500 0.7500 0.7500  4 Se 2.54, 4 Co 2.54
2 Se 0.0000 0.0000 0.0000  4 Ir 2.54
3 Co 0.5000 0.5000 0.5000  4 Ir 2.54

Properties
total magnetization	2.02	Bohr magnetons per cell
D(E_F)	4.8	states/eV per cell

=====

b:
# CoIrSe

A geometry-optimized CoIrSe structure (PBE-GGA, Alexandria via LeMat-Bulk).

abc: 2.9747 2.9760 11.6593
angles: 90.00 90.00 119.99
With the nearest neighbours (Å) after each atom.
Fractional coordinates of all 6 atoms:
1 Co 0.2223 0.4445 0.8305  3 Se 2.26
2 Co 0.2223 0.4445 0.1695  3 Se 2.26
3 Ir 0.5557 0.1114 0.0000  6 Co 2.62
4 Ir 0.5554 0.1108 0.5000  2 Se 2.39
5 Se 0.5555 0.1110 0.2951  3 Co 2.26, 1 Ir 2.39
6 Se 0.5555 0.1110 0.7049  3 Co 2.26, 1 Ir 2.39

Properties
total magnetization	0.00	Bohr magnetons per cell
D(E_F)	6.8	states/eV per cell

=====

c:
# CoIrSe

A geometry-optimized CoIrSe structure (PBE-GGA, Alexandria via LeMat-Bulk).

abc: 4.6274 4.6274 4.6274
angles: 142.86 133.10 61.28
With the nearest neighbours (Å) after each atom.
Fractional coordinates of all 3 atoms:
1 Ir 0.3387 0.3387 0.0000  5 Se 2.60-2.73, 5 Co 2.67-2.73
2 Co 0.9958 0.9958 0.0000  5 Se 2.63-2.72, 5 Ir 2.67-2.73
3 Se 0.6655 0.6655 0.0000  5 Ir 2.60-2.73, 5 Co 2.63-2.72

Properties
total magnetization	1.90	Bohr magnetons per cell
D(E_F)	3.7	states/eV per cell

=====

Most stable structure: b

=====

a:
# CoIr3Se

A geometry-optimized CoIr3Se structure (PBE-GGA, Alexandria via LeMat-Bulk).

abc: 4.4998 4.4998 4.4998
angles: 90.00 90.00 90.00
With the nearest neighbours (Å) after each atom.
Fractional coordinates of all 5 atoms:
1 Se 0.5000 0.5000 0.5000  12 Ir 3.18
2 Co 0.0000 0.0000 0.0000  6 Ir 2.25
3 Ir 0.5000 0.0000 0.0000  2 Co 2.25
4 Ir 0.0000 0.0000 0.5000  2 Co 2.25
5 Ir 0.0000 0.5000 0.0000  2 Co 2.25

Properties
total magnetization	4.05	Bohr magnetons per cell
D(E_F)	6.9	states/eV per cell

=====

b:
# CoIr3Se

A geometry-optimized CoIr3Se structure (PBE-GGA, Alexandria via LeMat-Bulk).

abc: 4.5525 4.5525 4.5525
angles: 90.00 90.00 90.00
With the nearest neighbours (Å) after each atom.
Fractional coordinates of all 5 atoms:
1 Se 0.0000 0.0000 0.0000  6 Ir 2.28
2 Ir 0.5000 0.0000 0.0000  2 Se 2.28
3 Ir 0.0000 0.0000 0.5000  2 Se 2.28
4 Ir 0.0000 0.5000 0.0000  2 Se 2.28
5 Co 0.5000 0.5000 0.5000  12 Ir 3.22

Properties
total magnetization	2.54	Bohr magnetons per cell
D(E_F)	6.1	states/eV per cell

=====

Most stable structure: b

=====

a:
# CoIr2Se6

A geometry-optimized CoIr2Se6 structure (PBE-GGA, Alexandria via LeMat-Bulk).

abc: 5.0741 10.9343 10.9343
angles: 120.00 90.00 90.00
With the nearest neighbours (Å) after each atom.
Fractional coordinates of all 27 atoms:
1 Se 0.2754 0.2160 0.4320  1 Co 2.47, 2 Ir 2.48
2 Se 0.2503 0.2175 0.1088  1 Co 2.42, 2 Ir 2.50
3 Se 0.7246 0.4320 0.2160  1 Co 2.47, 2 Ir 2.48
4 Se 0.7497 0.1088 0.2175  1 Co 2.42, 2 Ir 2.50
5 Se 0.2754 0.5680 0.7840  1 Co 2.47, 2 Ir 2.48
6 Se 0.2805 0.5498 0.0996  2 Ir 2.47, 1 Co 2.51
7 Se 0.2805 0.5498 0.4502  2 Ir 2.47, 1 Co 2.51
8 Se 0.2503 0.8912 0.1088  1 Co 2.42, 2 Ir 2.50
9 Se 0.7195 0.0996 0.5498  2 Ir 2.47, 1 Co 2.51
10 Se 0.2805 0.9004 0.4502  2 Ir 2.47, 1 Co 2.51
11 Se 0.7246 0.7840 0.2160  1 Co 2.47, 2 Ir 2.48
12 Se 0.2754 0.2160 0.7840  1 Co 2.47, 2 Ir 2.48
13 Se 0.7195 0.4502 0.5498  2 Ir 2.47, 1 Co 2.51
14 Se 0.2503 0.8912 0.7825  1 Co 2.42, 2 Ir 2.50
15 Se 0.7246 0.7840 0.5680  1 Co 2.47, 2 Ir 2.48
16 Se 0.7497 0.7825 0.8912  1 Co 2.42, 2 Ir 2.50
17 Se 0.7497 0.1088 0.8912  1 Co 2.42, 2 Ir 2.50
18 Se 0.7195 0.4502 0.9004  2 Ir 2.47, 1 Co 2.51
19 Ir 0.0000 0.6635 0.6635  6 Se 2.47-2.50
20 Ir 0.0000 0.3365 0.3365  6 Se 2.47-2.50
21 Ir 0.0000 0.0000 0.3365  6 Se 2.47-2.50
22 Ir 0.0000 0.0000 0.6635  6 Se 2.47-2.50
23 Ir 0.0000 0.6635 0.0000  6 Se 2.47-2.50
24 Ir 0.0000 0.3365 0.0000  6 Se 2.47-2.50
25 Co 0.5133 0.6667 0.3333  6 Se 2.47-2.51
26 Co 0.4867 0.3333 0.6667  6 Se 2.47-2.51
27 Co 0.0000 0.0000 0.0000  6 Se 2.42

Properties
total magnetization	0.00	Bohr magnetons per cell
D(E_F)	14.9	states/eV per cell

=====

b:
# CoIr2Se6

A geometry-optimized CoIr2Se6 structure (PBE-GGA, Alexandria via LeMat-Bulk).

abc: 6.3669 5.0224 10.8618
angles: 90.00 90.00 90.00
With the nearest neighbours (Å) after each atom.
Fractional coordinates of all 18 atoms:
1 Se 0.1788 0.2548 0.0001  1 Co 2.39, 2 Ir 2.57
2 Se 0.6765 0.2362 0.8497  1 Co 2.38, 2 Ir 2.47
3 Se 0.3212 0.7548 0.4999  1 Co 2.39, 2 Ir 2.57
4 Se 0.8212 0.7452 0.9999  1 Co 2.39, 2 Ir 2.57
5 Se 0.6766 0.2368 0.1504  1 Co 2.38, 2 Ir 2.47
6 Se 0.1765 0.2638 0.3497  1 Co 2.38, 2 Ir 2.47
7 Se 0.6788 0.2452 0.5001  1 Co 2.39, 2 Ir 2.57
8 Se 0.8235 0.7362 0.6503  1 Co 2.38, 2 Ir 2.47
9 Se 0.3234 0.7632 0.8496  1 Co 2.38, 2 Ir 2.47
10 Se 0.3235 0.7638 0.1503  1 Co 2.38, 2 Ir 2.47
11 Se 0.1766 0.2632 0.6504  1 Co 2.38, 2 Ir 2.47
12 Se 0.8234 0.7368 0.3496  1 Co 2.38, 2 Ir 2.47
13 Co 0.0000 0.0000 0.5000  6 Se 2.38-2.39
14 Co 0.5000 0.5000 0.0000  6 Se 2.38-2.39
15 Ir 0.0000 0.4997 0.8210  6 Se 2.47-2.57
16 Ir 0.0000 0.5003 0.1790  6 Se 2.47-2.57
17 Ir 0.5000 0.0003 0.3210  6 Se 2.47-2.57
18 Ir 0.5000 0.9997 0.6790  6 Se 2.47-2.57

Properties
total magnetization	0.00	Bohr magnetons per cell
D(E_F)	9.1	states/eV per cell

=====

Most stable structure: b

=====

a:
# Zr2CoIrSe

A geometry-optimized Zr2CoIrSe structure (PBE-GGA, Alexandria via LeMat-Bulk).

abc: 5.0956 4.4032 5.0956
angles: 90.00 90.00 90.00
With the nearest neighbours (Å) after each atom.
Fractional coordinates of all 5 atoms:
1 Zr 0.5000 0.0000 0.0000  2 Ir 2.55
2 Zr 0.0000 0.0000 0.5000  2 Ir 2.55
3 Se 0.5000 0.5000 0.5000  8 Zr 3.37, 4 Co 3.60
4 Co 0.0000 0.5000 0.0000  2 Ir 2.20
5 Ir 0.0000 0.0000 0.0000  2 Co 2.20

Properties
total magnetization	0.00	Bohr magnetons per cell
D(E_F)	7.8	states/eV per cell

=====

b:
# Zr2CoIrSe

A geometry-optimized Zr2CoIrSe structure (PBE-GGA, Alexandria via LeMat-Bulk).

abc: 4.8611 4.8611 4.3765
angles: 90.00 90.00 90.00
With the nearest neighbours (Å) after each atom.
Fractional coordinates of all 5 atoms:
1 Ir 0.0000 0.0000 0.5000  2 Co 2.19
2 Se 0.5000 0.5000 0.5000  8 Zr 3.27, 4 Ir 3.44
3 Co 0.0000 0.0000 0.0000  2 Ir 2.19, 4 Zr 2.43
4 Zr 0.0000 0.5000 0.0000  2 Co 2.43
5 Zr 0.5000 0.0000 0.0000  2 Co 2.43

Properties
total magnetization	0.00	Bohr magnetons per cell
D(E_F)	5.4	states/eV per cell

=====

Most stable structure: b

=====

a:
# CoSi2Ir

A geometry-optimized CoSi2Ir structure (PBE-GGA, Alexandria via LeMat-Bulk).

abc: 4.0543 4.0543 4.7458
angles: 79.30 79.30 40.89
With the nearest neighbours (Å) after each atom.
Fractional coordinates of all 4 atoms:
1 Si 0.0033 0.0033 0.9801  3 Co 2.39-2.43, 3 Ir 2.47-2.52, 2 Si 2.61
2 Si 0.4967 0.4967 0.5199  3 Co 2.39-2.43, 3 Ir 2.47-2.52, 2 Si 2.61
3 Co 0.7500 0.7500 0.7500  6 Si 2.39-2.43
4 Ir 0.2500 0.2500 0.2500  6 Si 2.47-2.52, 4 Co 2.76

Properties
total magnetization	0.00	Bohr magnetons per cell
D(E_F)	2.4	states/eV per cell

=====

b:
# CoSi2Ir

A geometry-optimized CoSi2Ir structure (PBE-GGA, Alexandria via LeMat-Bulk).

abc: 3.8509 3.8553 3.3060
angles: 90.00 90.00 90.00
With the nearest neighbours (Å) after each atom.
Fractional coordinates of all 4 atoms:
1 Co 0.5000 0.0000 0.5000  8 Si 2.54, 4 Ir 2.72
2 Ir 0.0000 0.5000 0.5000  8 Si 2.54, 4 Co 2.72
3 Si 0.0000 0.0000 0.0000  4 Co 2.54, 4 Ir 2.54, 4 Si 2.72
4 Si 0.5000 0.5000 0.0000  4 Ir 2.54, 4 Co 2.54, 4 Si 2.72

Properties
total magnetization	0.27	Bohr magnetons per cell
D(E_F)	2.0	states/eV per cell

=====

Most stable structure: a